Entry 1:
Entry from the Open Quantum Materials Database: an optimized crystal structure of Dy2AlNiOs (PBE-GGA).

## Properties
Theoretical density = 10220 kg/m3
Raw total energy = -6.440 eV/atom
SG = No. 44

a = 5.4874 Å, b = 5.4874 Å, c = 5.4874 Å
α = 136.09°, β = 78.45°, γ = 118.67°
Fractional positions:
Al1 0.9981 0.9981 0.0000
Ni1 0.2612 0.7612 0.5000
Os1 0.7257 0.2257 0.5000
Dy1 0.3065 0.5075 0.7990
Dy2 0.7085 0.5075 0.2010



Entry 2:
Entry from the Open Quantum Materials Database: an optimized crystal structure of TbPrTl2Pd4 (PBE-GGA).

## Properties
Theoretical density = 10937 kg/m3
Raw total energy = -4.996 eV/atom
SG = No. 187

a = 4.6955 Å, b = 4.6955 Å, c = 9.0193 Å
α = 90.00°, β = 90.00°, γ = 120.00°
Fractional positions:
Pd1 0.6667 0.3333 0.8332
Tl1 0.3333 0.6667 0.2561
Pr1 0.0000 0.0000 0.0000
Pd2 0.0000 0.0000 0.6569
Tl2 0.3333 0.6667 0.7439
Pd3 0.6667 0.3333 0.1668
Pd4 0.0000 0.0000 0.3431
Tb1 0.6667 0.3333 0.5000



Entry 3:
Entry from the Open Quantum Materials Database: an optimized crystal structure of Zr3Nb2Ni2 (PBE-GGA).

## Properties
Energy relative to the elements = -11 kJ/mol of formula units
Theoretical density = 7397 kg/m3
SG = No. 160

a = 7.6752 Å, b = 7.6752 Å, c = 7.6752 Å
α = 34.51°, β = 34.51°, γ = 34.51°
Fractional positions:
Nb1 0.7718 0.7718 0.7718
Zr1 0.6320 0.6320 0.6320
Nb2 0.1548 0.1548 0.1548
Ni1 0.5091 0.5091 0.5091
Ni2 0.0249 0.0249 0.0249
Zr2 0.3827 0.3827 0.3827
Zr3 0.8997 0.8997 0.8997



Entry 4:
Entry from the Open Quantum Materials Database: an optimized crystal structure of KTcO3 (PBE-GGA).

## Properties
Theoretical density = 5173 kg/m3
Raw total energy = -6.837 eV/atom
SG = No. 99

a = 3.8998 Å, b = 3.8998 Å, c = 3.9066 Å
α = 90.00°, β = 90.00°, γ = 90.00°
Fractional positions:
O1 0.5000 0.0000 0.5811
O2 0.0000 0.5000 0.5811
Tc1 0.5000 0.5000 0.5801
K1 0.0000 0.0000 0.0771
O3 0.5000 0.5000 0.0807



Entry 5:
Entry from the Open Quantum Materials Database: an optimized crystal structure of Re2Ge (PBE-GGA).

## Properties
Theoretical density = 14728 kg/m3
Raw total energy = -9.085 eV/atom
SG = No. 227

a = 5.2162 Å, b = 5.2162 Å, c = 5.2162 Å
α = 60.00°, β = 60.00°, γ = 60.00°
Fractional positions:
Re1 0.1250 0.6250 0.6250
Ge1 0.0000 0.0000 0.0000
Ge2 0.2500 0.2500 0.2500
Re2 0.6250 0.1250 0.6250
Re3 0.6250 0.6250 0.1250
Re4 0.6250 0.6250 0.6250



Entry 6:
Entry from the Open Quantum Materials Database: an optimized crystal structure of MgFeBAu (PBE-GGA).

## Properties
Theoretical density = 8713 kg/m3
Raw total energy = -4.419 eV/atom
SG = No. 216

a = 4.2654 Å, b = 4.2654 Å, c = 4.2654 Å
α = 60.00°, β = 60.00°, γ = 60.00°
Fractional positions:
Fe1 0.7500 0.7500 0.7500
B1 0.0000 0.0000 0.0000
Mg1 0.2500 0.2500 0.2500
Au1 0.5000 0.5000 0.5000



Entry 7:
Entry from the Open Quantum Materials Database: an optimized crystal structure of ErZrB4 (PBE-GGA).

## Properties
Theoretical density = 7613 kg/m3
Raw total energy = -7.455 eV/atom
SG = No. 191

a = 3.2118 Å, b = 3.2118 Å, c = 7.3670 Å
α = 90.00°, β = 90.00°, γ = 120.00°
Fractional positions:
Zr1 0.0000 0.0000 0.5000
Er1 0.0000 0.0000 0.0000
B1 0.3333 0.6667 0.2608
B2 0.6667 0.3333 0.2608
B3 0.3333 0.6667 0.7392
B4 0.6667 0.3333 0.7392



Entry 8:
Entry from the Open Quantum Materials Database: an optimized crystal structure of SrFeAgS3 (PBE-GGA).

## Properties
Theoretical density = 4675 kg/m3
Raw total energy = -4.807 eV/atom
SG = No. 63

a = 6.9163 Å, b = 6.9163 Å, c = 9.7859 Å
α = 90.00°, β = 90.00°, γ = 148.17°
Site moments in Bohr magnetons follow the coordinates.
Fractional positions:
S1 0.0918 0.9082 0.7500  0.22
Fe1 0.0000 0.0000 0.5000  3.61
Ag1 0.4737 0.5263 0.7500  0.12
S2 0.9082 0.0918 0.2500  0.22
S3 0.3725 0.6275 0.9591  0.21
Fe2 0.0000 0.0000 0.0000  3.61
S4 0.6275 0.3725 0.0409  0.21
S5 0.3725 0.6275 0.5409  0.21
Sr1 0.2403 0.7597 0.2500  0.03
S6 0.6275 0.3725 0.4591  0.21
Ag2 0.5263 0.4737 0.2500  0.12
Sr2 0.7597 0.2403 0.7500  0.03



Entry 9:
Entry from the Open Quantum Materials Database: an optimized crystal structure of SmGe2PtAu (PBE-GGA).

## Properties
Theoretical density = 11485 kg/m3
Raw total energy = -5.423 eV/atom
SG = No. 129

a = 4.3857 Å, b = 4.3857 Å, c = 10.3391 Å
α = 90.00°, β = 90.00°, γ = 90.00°
Fractional positions:
Sm1 0.0000 0.5000 0.2535
Sm2 0.5000 0.0000 0.7465
Pt1 0.5000 0.0000 0.3809
Ge1 0.0000 0.5000 0.8550
Au1 0.0000 0.0000 0.0000
Ge2 0.5000 0.0000 0.1450
Pt2 0.0000 0.5000 0.6191
Ge3 0.0000 0.0000 0.5000
Au2 0.5000 0.5000 0.0000
Ge4 0.5000 0.5000 0.5000



Entry 10:
Entry from the Open Quantum Materials Database: an optimized crystal structure of CsDyErTe3 (PBE-GGA).

## Properties
Theoretical density = 5749 kg/m3
Raw total energy = -4.456 eV/atom
SG = No. 63

a = 9.0724 Å, b = 9.0724 Å, c = 11.8107 Å
α = 90.00°, β = 90.00°, γ = 149.84°
Site moments in Bohr magnetons follow the coordinates.
Fractional positions:
Dy1 0.9663 0.0337 0.7500  0.06
Dy2 0.0337 0.9663 0.2500  0.06
Er1 0.5000 0.5000 0.0000  0.06
Te1 0.8808 0.1192 0.5385  0.00
Te2 0.1192 0.8808 0.4615  0.00
Te3 0.5658 0.4342 0.7500  0.00
Te4 0.1192 0.8808 0.0385  0.00
Te5 0.4342 0.5658 0.2500  0.00
Er2 0.5000 0.5000 0.5000  0.06
Te6 0.8808 0.1192 0.9615  0.00
Cs1 0.2456 0.7544 0.7500  0.00
Cs2 0.7544 0.2456 0.2500  0.00



Entry 11:
Entry from the Open Quantum Materials Database: an optimized crystal structure of LiZr3P5 (PBE-GGA).

## Properties
Theoretical density = 3790 kg/m3
Raw total energy = -6.630 eV/atom
SG = No. 191

a = 6.0971 Å, b = 6.0971 Å, c = 5.9261 Å
α = 90.00°, β = 90.00°, γ = 120.00°
Fractional positions:
P1 0.0000 0.0000 0.5000
P2 0.3333 0.6667 0.1786
Zr1 0.5000 0.0000 0.5000
Li1 0.0000 0.0000 0.0000
Zr2 0.5000 0.5000 0.5000
Zr3 0.0000 0.5000 0.5000
P3 0.3333 0.6667 0.8214
P4 0.6667 0.3333 0.1786
P5 0.6667 0.3333 0.8214



Entry 12:
Entry from the Open Quantum Materials Database: an optimized crystal structure of BeSiMo (PBE-GGA).

## Properties
Theoretical density = 5692 kg/m3
Raw total energy = -6.429 eV/atom
SG = No. 216

a = 3.8005 Å, b = 3.8005 Å, c = 3.8005 Å
α = 60.00°, β = 60.00°, γ = 60.00°
Fractional positions:
Si1 0.7500 0.7500 0.7500
Mo1 0.2500 0.2500 0.2500
Be1 0.0000 0.0000 0.0000